No. 1
# MnIr2

A geometry-optimized MnIr2 structure (PBE, the Alexandria database).

It has space group Pnma (No. 62), with a = 4.691 Å, b = 4.264 Å, c = 8.117 Å, α = 90.00°, β = 90.00° and γ = 90.00°. The distinct sites, in fractional coordinates, are Mn at (0.168, 0.250, 0.164), Ir at (0.159, 0.250, 0.828) and Ir at (0.171, 0.250, 0.496).


No. 2
# MnIr3

A geometry-optimized MnIr3 structure (PBE, the Alexandria database).

It has space group R-3m (No. 166, hexagonal axes), with a = 8.6667 Å, b = 8.6667 Å, c = 2.7271 Å, α = 90.00°, β = 90.00° and γ = 120.00°. The distinct sites, in fractional coordinates, are Mn at (0.0000, 0.0000, 0.0000) and Ir at (0.0000, 0.5000, 0.0000).


No. 3
# Mn3Ir

A geometry-optimized Mn3Ir structure (PBE, the Alexandria database).

It has space group P6_3/mmc (No. 194), with a = 5.1751 Å, b = 5.1751 Å, c = 8.3695 Å, α = 90.00°, β = 90.00° and γ = 120.00°. The distinct sites, in fractional coordinates, are Mn at (0.0000, 0.5000, 0.0000), Mn at (0.1704, 0.3407, 0.2500), Ir at (0.0000, 0.0000, 0.0000) and Ir at (0.3333, 0.6667, 0.7500).


Number 1: electronic total energy -9.095 eV/atom, calculated formation energy -131 meV per atom. Number 2: electronic total energy -8.649 eV/atom, calculated formation energy 290 meV per atom. Number 3: electronic total energy -9.188 eV/atom, calculated formation energy -96 meV per atom.